LiTi3F | GGA-PBEsol | relaxed

Structure (POSCAR):
```
LiTi3F
1.0
4.395 0.000 0.000
0.000 4.395 0.000
0.000 0.000 4.395
Li Ti F
1 3 1
Cartesian
0.000 0.000 0.000 Li
0.000 0.000 2.198 Ti
0.000 2.198 0.000 Ti
2.198 0.000 0.000 Ti
2.198 2.198 2.198 F
```

Summary:
Crystal system ... cubic
Mass density ... 3.32 g/cm³
ΔE_f (raw) ... 0.904 eV per atom
Raw total energy ... -24.34 eV for the cell shown